Be2AsRh: relaxed, PBE.

The structure in extended XYZ format:
```
4
Lattice="-1.027 -1.004 4.025 -1.234 -3.322 2.388 3.861 -1.248 1.278" Properties=species:S:1:pos:R:3 pbc="T T T"
As 0.368 -1.350 1.865
Be 1.205 -4.200 5.796
Be 3.738 -1.245 1.290
Rh 0.949 -2.813 3.864
```

## Properties
V = 12.1 Å³/atom
formation enthalpy at 0 K = -0.157 eV/atom
DFT total energy = -5.020 eV per atom
space group = No. 8